{
  "formula": "CaScMo2O8",
  "functional": "PBE with a Hubbard U",
  "state": "relaxed",
  "lattice": [[5.127, 0.000, 0.000], [0.000, 5.127, 0.000], [-2.563, -2.563, 5.631]],
  "species": ["O", "O", "O", "O", "O", "O", "O", "O", "Ca", "Mo", "Mo", "Sc"],
  "frac_coords": [[0.387, 0.315, 0.157], [0.685, 0.230, 0.843], [0.770, 0.842, 0.157], [0.995, 0.418, 0.325], [0.093, 0.005, 0.675], [0.158, 0.613, 0.843], [0.582, 0.670, 0.675], [0.330, 0.907, 0.325], [0.750, 0.250, 0.500], [0.500, 0.500, 0.000], [0.250, 0.750, 0.500], [0.000, 0.000, 0.000]],
  "total_energy_ev_per_atom": -7.461,
  "spacegroup": "I-4, No. 82"
}